(1)
The following is a PBE calculation of an optimized crystal structure of Li2MgHg7, from the Alexandria database.

Cell and atoms, written as CIF:
```
data_Li2MgHg7
_space_group_name_H-M_alt 'P 3 m 1'
_space_group_IT_number 156
_cell_length_a 4.7719
_cell_length_b 4.7719
_cell_length_c 11.9870
_cell_angle_alpha 90.00
_cell_angle_beta 90.00
_cell_angle_gamma 120.00
loop_
_space_group_symop_operation_xyz
'x,y,z'
'-y,x-y,z'
'-x+y,-x,z'
'-y,-x,z'
'-x+y,y,z'
'x,x-y,z'
loop_
_atom_site_label
_atom_site_type_symbol
_atom_site_fract_x
_atom_site_fract_y
_atom_site_fract_z
Li1 Li 0.0000 0.0000 0.0000
Li2 Li 0.3333 0.6667 0.6016
Mg1 Mg 0.6667 0.3333 0.1912
Hg1 Hg 0.0000 0.0000 0.2574
Hg2 Hg 0.0000 0.0000 0.6924
Hg3 Hg 0.3333 0.6667 0.0910
Hg4 Hg 0.3333 0.6667 0.3754
Hg5 Hg 0.3333 0.6667 0.8261
Hg6 Hg 0.6667 0.3333 0.5159
Hg7 Hg 0.6667 0.3333 0.9388
```

Results
* E: -0.91 eV per atom

---

(2)
The following is a PBE calculation of an optimized crystal structure of LiMg6Hg, from the Alexandria database.

Cell and atoms, written as CIF:
```
data_LiMg6Hg
_space_group_name_H-M_alt 'C 1 2/m 1'
_space_group_IT_number 12
_cell_length_a 6.359
_cell_length_b 10.961
_cell_length_c 6.262
_cell_angle_alpha 90.00
_cell_angle_beta 120.31
_cell_angle_gamma 90.00
loop_
_space_group_symop_operation_xyz
'x,y,z'
'-x,-y,-z'
'-x,y,-z'
'x,-y,z'
'x+1/2,y+1/2,z'
'-x+1/2,-y+1/2,-z'
'-x+1/2,y+1/2,-z'
'x+1/2,-y+1/2,z'
loop_
_atom_site_label
_atom_site_type_symbol
_atom_site_fract_x
_atom_site_fract_y
_atom_site_fract_z
Li1 Li 0.000 0.000 0.000
Mg1 Mg 0.248 0.283 0.754
Mg2 Mg 0.249 0.000 0.751
Hg1 Hg 0.000 0.500 0.500
```

Results
* E: -1.41 eV per atom
* ΔE to the lowest computed polymorph: 128 meV/atom

---

(3)
The following is a PBE calculation of an optimized crystal structure of LiMgHg2, from the Alexandria database.

Cell and atoms, written as CIF:
```
data_LiMgHg2
_space_group_name_H-M_alt 'C 1 m 1'
_space_group_IT_number 8
_cell_length_a 10.487
_cell_length_b 3.303
_cell_length_c 4.905
_cell_angle_alpha 90.00
_cell_angle_beta 104.05
_cell_angle_gamma 90.00
loop_
_space_group_symop_operation_xyz
'x,y,z'
'x,-y,z'
'x+1/2,y+1/2,z'
'x+1/2,-y+1/2,z'
loop_
_atom_site_label
_atom_site_type_symbol
_atom_site_fract_x
_atom_site_fract_y
_atom_site_fract_z
Li1 Li 0.000 0.000 0.000
Mg1 Mg 0.242 0.000 0.646
Hg1 Hg 0.238 0.500 0.137
Hg2 Hg 0.498 0.000 0.502
```

Results
* E: -1.28 eV per atom

---

(4)
The following is a PBE calculation of an optimized crystal structure of Li8Mg6Hg, from the Alexandria database.

Cell and atoms, written as CIF:
```
data_Li8Mg6Hg
_space_group_name_H-M_alt 'R -3'
_space_group_IT_number 148
_space_group_name_Hall '-R 3'
_cell_length_a 8.3424
_cell_length_b 8.3424
_cell_length_c 15.4626
_cell_angle_alpha 90.00
_cell_angle_beta 90.00
_cell_angle_gamma 120.00
loop_
_atom_site_label
_atom_site_type_symbol
_atom_site_fract_x
_atom_site_fract_y
_atom_site_fract_z
Li1 Li 0.0000 0.0000 0.2424
Li2 Li 0.0486 0.2765 0.9048
Mg1 Mg 0.0248 0.2327 0.4109
Hg1 Hg 0.0000 0.0000 0.0000
```

Results
* E: -1.73 eV per atom

---

(5)
The following is a PBE calculation of an optimized crystal structure of Li7MgHg4, from the Alexandria database.

Cell and atoms, written as CIF:
```
data_Li7MgHg4
_space_group_name_H-M_alt 'P -1'
_space_group_IT_number 2
_cell_length_a 4.989
_cell_length_b 5.855
_cell_length_c 7.922
_cell_angle_alpha 102.08
_cell_angle_beta 94.70
_cell_angle_gamma 102.36
loop_
_space_group_symop_operation_xyz
'x,y,z'
'-x,-y,-z'
loop_
_atom_site_label
_atom_site_type_symbol
_atom_site_fract_x
_atom_site_fract_y
_atom_site_fract_z
Li1 Li 0.000 0.000 0.000
Li2 Li 0.007 0.170 0.663
Li3 Li 0.478 0.749 0.503
Li4 Li 0.494 0.610 0.832
Mg1 Mg 0.000 0.500 0.000
Hg1 Hg 0.029 0.324 0.333
Hg2 Hg 0.498 0.889 0.174
```

Results
* E: -1.65 eV per atom
* ΔE to the lowest computed polymorph: 0 meV/atom

---

(6)
The following is a PBE calculation of an optimized crystal structure of Li3Mg3Hg, from the Alexandria database.

Cell and atoms, written as CIF:
```
data_Li3Mg3Hg
_space_group_name_H-M_alt 'P 63/m'
_space_group_IT_number 176
_space_group_name_Hall '-P 6c'
_cell_length_a 8.0849
_cell_length_b 8.0849
_cell_length_c 4.9376
_cell_angle_alpha 90.00
_cell_angle_beta 90.00
_cell_angle_gamma 120.00
loop_
_atom_site_label
_atom_site_type_symbol
_atom_site_fract_x
_atom_site_fract_y
_atom_site_fract_z
Li1 Li 0.1024 0.4901 0.2500
Mg1 Mg 0.0709 0.2566 0.7500
Hg1 Hg 0.3333 0.6667 0.7500
```

Results
* E: -1.71 eV per atom

---

(7)
The following is a PBE calculation of an optimized crystal structure of Li2MgHgN, from the Alexandria database.

Cell and atoms, written as CIF:
```
data_Li2MgHgN
_space_group_name_H-M_alt 'P 4/m m m'
_space_group_IT_number 123
_space_group_name_Hall '-P 4 2'
_cell_length_a 5.042
_cell_length_b 5.042
_cell_length_c 4.990
_cell_angle_alpha 90.00
_cell_angle_beta 90.00
_cell_angle_gamma 90.00
loop_
_atom_site_label
_atom_site_type_symbol
_atom_site_fract_x
_atom_site_fract_y
_atom_site_fract_z
Li1 Li 0.000 0.500 0.000
Mg1 Mg 0.000 0.000 0.000
Hg1 Hg 0.000 0.000 0.500
N1 N 0.500 0.500 0.500
```

Results
* raw formation energy: 664 kJ/mol of formula units
* E: -1.43 eV per atom
* ΔE to the lowest computed polymorph: 1726 meV/atom

---

(8)
The following is a PBE calculation of an optimized crystal structure of Li2MgHgN, from the Alexandria database.

Cell and atoms, written as CIF:
```
data_Li2MgHgN
_space_group_name_H-M_alt 'P 4/m m m'
_space_group_IT_number 123
_space_group_name_Hall '-P 4 2'
_cell_length_a 4.254
_cell_length_b 4.254
_cell_length_c 4.140
_cell_angle_alpha 90.00
_cell_angle_beta 90.00
_cell_angle_gamma 90.00
loop_
_atom_site_label
_atom_site_type_symbol
_atom_site_fract_x
_atom_site_fract_y
_atom_site_fract_z
Li1 Li 0.000 0.500 0.000
Mg1 Mg 0.000 0.000 0.500
Hg1 Hg 0.500 0.500 0.500
N1 N 0.000 0.000 0.000
```

Results
* raw formation energy: -169 kJ/mol of formula units
* E: -3.16 eV per atom
* ΔE to the lowest computed polymorph: 0 meV/atom

---

(9)
The following is a PBE calculation of an optimized crystal structure of LiMg2HgN, from the Alexandria database.

Cell and atoms, written as CIF:
```
data_LiMg2HgN
_space_group_name_H-M_alt 'P 4/m m m'
_space_group_IT_number 123
_space_group_name_Hall '-P 4 2'
_cell_length_a 4.274
_cell_length_b 4.274
_cell_length_c 4.322
_cell_angle_alpha 90.00
_cell_angle_beta 90.00
_cell_angle_gamma 90.00
loop_
_atom_site_label
_atom_site_type_symbol
_atom_site_fract_x
_atom_site_fract_y
_atom_site_fract_z
Li1 Li 0.000 0.000 0.000
Mg1 Mg 0.000 0.500 0.500
Hg1 Hg 0.500 0.500 0.000
N1 N 0.000 0.000 0.500
```

Results
* raw formation energy: -196 kJ/mol of formula units
* E: -3.15 eV per atom

---

(10)
The following is a PBE calculation of an optimized crystal structure of NaLi2MgHg4, from the Alexandria database.

Cell and atoms, written as CIF:
```
data_NaLi2MgHg4
_space_group_name_H-M_alt 'R -3 m'
_space_group_IT_number 166
_space_group_name_Hall '-R 3 2"'
_cell_length_a 4.9013
_cell_length_b 4.9013
_cell_length_c 24.3849
_cell_angle_alpha 90.00
_cell_angle_beta 90.00
_cell_angle_gamma 120.00
loop_
_atom_site_label
_atom_site_type_symbol
_atom_site_fract_x
_atom_site_fract_y
_atom_site_fract_z
Na1 Na 0.0000 0.0000 0.0000
Li1 Li 0.0000 0.0000 0.2484
Mg1 Mg 0.0000 0.0000 0.5000
Hg1 Hg 0.0000 0.0000 0.1281
Hg2 Hg 0.0000 0.0000 0.3780
```

Results
* E: -1.28 eV per atom

---

(11)
The following is a PBE calculation of an optimized crystal structure of LiNdMg2Hg2, from the Alexandria database.

Cell and atoms, written as CIF:
```
data_LiNdMg2Hg2
_space_group_name_H-M_alt 'P -3 m 1'
_space_group_IT_number 164
_space_group_name_Hall '-P 3 2"'
_cell_length_a 4.8870
_cell_length_b 4.8870
_cell_length_c 6.7051
_cell_angle_alpha 90.00
_cell_angle_beta 90.00
_cell_angle_gamma 120.00
loop_
_atom_site_label
_atom_site_type_symbol
_atom_site_fract_x
_atom_site_fract_y
_atom_site_fract_z
Li1 Li 0.0000 0.0000 0.0000
Nd1 Nd 0.0000 0.0000 0.5000
Mg1 Mg 0.3333 0.6667 0.1759
Hg1 Hg 0.3333 0.6667 0.7385
```

Results
* E: -2.09 eV per atom

---

(12)
The following is a PBE calculation of an optimized crystal structure of Li2NdMgHg4, from the Alexandria database.

Cell and atoms, written as CIF:
```
data_Li2NdMgHg4
_space_group_name_H-M_alt 'R -3 m'
_space_group_IT_number 166
_space_group_name_Hall '-R 3 2"'
_cell_length_a 4.7680
_cell_length_b 4.7680
_cell_length_c 27.1214
_cell_angle_alpha 90.00
_cell_angle_beta 90.00
_cell_angle_gamma 120.00
loop_
_atom_site_label
_atom_site_type_symbol
_atom_site_fract_x
_atom_site_fract_y
_atom_site_fract_z
Li1 Li 0.0000 0.0000 0.2361
Nd1 Nd 0.0000 0.0000 0.0000
Mg1 Mg 0.0000 0.0000 0.5000
Hg1 Hg 0.0000 0.0000 0.1241
Hg2 Hg 0.0000 0.0000 0.3910
```

Results
* E: -1.79 eV per atom

---

(13)
The following is a PBE calculation of an optimized crystal structure of LiNdMg2Hg4, from the Alexandria database.

Cell and atoms, written as CIF:
```
data_LiNdMg2Hg4
_space_group_name_H-M_alt 'R -3 m'
_space_group_IT_number 166
_space_group_name_Hall '-R 3 2"'
_cell_length_a 4.8848
_cell_length_b 4.8848
_cell_length_c 26.1337
_cell_angle_alpha 90.00
_cell_angle_beta 90.00
_cell_angle_gamma 120.00
loop_
_atom_site_label
_atom_site_type_symbol
_atom_site_fract_x
_atom_site_fract_y
_atom_site_fract_z
Li1 Li 0.0000 0.0000 0.0000
Nd1 Nd 0.0000 0.0000 0.5000
Mg1 Mg 0.0000 0.0000 0.2559
Hg1 Hg 0.0000 0.0000 0.1120
Hg2 Hg 0.0000 0.0000 0.3698
```

Results
* E: -1.76 eV per atom

---

(14)
The following is a PBE calculation of an optimized crystal structure of LiNd2MgHg4, from the Alexandria database.

Cell and atoms, written as CIF:
```
data_LiNd2MgHg4
_space_group_name_H-M_alt 'R -3 m'
_space_group_IT_number 166
_space_group_name_Hall '-R 3 2"'
_cell_length_a 5.1647
_cell_length_b 5.1647
_cell_length_c 25.2376
_cell_angle_alpha 90.00
_cell_angle_beta 90.00
_cell_angle_gamma 120.00
loop_
_atom_site_label
_atom_site_type_symbol
_atom_site_fract_x
_atom_site_fract_y
_atom_site_fract_z
Li1 Li 0.0000 0.0000 0.0000
Nd1 Nd 0.0000 0.0000 0.2491
Mg1 Mg 0.0000 0.0000 0.5000
Hg1 Hg 0.0000 0.0000 0.1226
Hg2 Hg 0.0000 0.0000 0.3733
```

Results
* E: -2.25 eV per atom

---

(15)
The following is a PBE calculation of an optimized crystal structure of LiMg2NiHg, from the Alexandria database.

Cell and atoms, written as CIF:
```
data_LiMg2NiHg
_space_group_name_H-M_alt 'P 4/m m m'
_space_group_IT_number 123
_space_group_name_Hall '-P 4 2'
_cell_length_a 5.138
_cell_length_b 5.138
_cell_length_c 4.707
_cell_angle_alpha 90.00
_cell_angle_beta 90.00
_cell_angle_gamma 90.00
loop_
_atom_site_label
_atom_site_type_symbol
_atom_site_fract_x
_atom_site_fract_y
_atom_site_fract_z
Li1 Li 0.000 0.000 0.000
Mg1 Mg 0.000 0.500 0.500
Ni1 Ni 0.500 0.500 0.000
Hg1 Hg 0.000 0.000 0.500
```

Results
* E: -1.65 eV per atom

---

(16)
The following is a PBE calculation of an optimized crystal structure of Li2MgHgO, from the Alexandria database.

Cell and atoms, written as CIF:
```
data_Li2MgHgO
_space_group_name_H-M_alt 'P 4/m m m'
_space_group_IT_number 123
_space_group_name_Hall '-P 4 2'
_cell_length_a 4.231
_cell_length_b 4.231
_cell_length_c 4.081
_cell_angle_alpha 90.00
_cell_angle_beta 90.00
_cell_angle_gamma 90.00
loop_
_atom_site_label
_atom_site_type_symbol
_atom_site_fract_x
_atom_site_fract_y
_atom_site_fract_z
Li1 Li 0.000 0.500 0.000
Mg1 Mg 0.000 0.000 0.500
Hg1 Hg 0.500 0.500 0.500
O1 O 0.000 0.000 0.000
```

Results
* raw formation energy: -526 kJ/mol of formula units
* E: -3.23 eV per atom

---

(17)
The following is a PBE calculation of an optimized crystal structure of LiMg2HgP, from the Alexandria database.

Cell and atoms, written as CIF:
```
data_LiMg2HgP
_space_group_name_H-M_alt 'P 4/m m m'
_space_group_IT_number 123
_space_group_name_Hall '-P 4 2'
_cell_length_a 5.146
_cell_length_b 5.146
_cell_length_c 4.771
_cell_angle_alpha 90.00
_cell_angle_beta 90.00
_cell_angle_gamma 90.00
loop_
_atom_site_label
_atom_site_type_symbol
_atom_site_fract_x
_atom_site_fract_y
_atom_site_fract_z
Li1 Li 0.000 0.000 0.000
Mg1 Mg 0.000 0.500 0.500
Hg1 Hg 0.000 0.000 0.500
P1 P 0.500 0.500 0.000
```

Results
* E: -1.80 eV per atom

---

(18)
The following is a PBE calculation of an optimized crystal structure of LiMgPaHg, from the Alexandria database.

Cell and atoms, written as CIF:
```
data_LiMgPaHg
_space_group_name_H-M_alt 'F -4 3 m'
_space_group_IT_number 216
_space_group_name_Hall 'F -4 2 3'
_cell_length_a 7.122
_cell_length_b 7.122
_cell_length_c 7.122
_cell_angle_alpha 90.00
_cell_angle_beta 90.00
_cell_angle_gamma 90.00
loop_
_atom_site_label
_atom_site_type_symbol
_atom_site_fract_x
_atom_site_fract_y
_atom_site_fract_z
Li1 Li 0.000 0.000 0.000
Mg1 Mg 0.250 0.250 0.250
Pa1 Pa 0.250 0.250 0.750
Hg1 Hg 0.000 0.000 0.500
```

Results
* E: -3.15 eV per atom

---

(19)
The following is a PBE calculation of an optimized crystal structure of LiMgHgPb, from the Alexandria database.

Cell and atoms, written as CIF:
```
data_LiMgHgPb
_space_group_name_H-M_alt 'F -4 3 m'
_space_group_IT_number 216
_space_group_name_Hall 'F -4 2 3'
_cell_length_a 7.100
_cell_length_b 7.100
_cell_length_c 7.100
_cell_angle_alpha 90.00
_cell_angle_beta 90.00
_cell_angle_gamma 90.00
loop_
_atom_site_label
_atom_site_type_symbol
_atom_site_fract_x
_atom_site_fract_y
_atom_site_fract_z
Li1 Li 0.000 0.000 0.000
Mg1 Mg 0.000 0.000 0.500
Hg1 Hg 0.250 0.250 0.750
Pb1 Pb 0.250 0.250 0.250
```

Results
* E: -2.08 eV per atom

---

(20)
The following is a PBE calculation of an optimized crystal structure of Li2MgHg4Pb, from the Alexandria database.

Cell and atoms, written as CIF:
```
data_Li2MgHg4Pb
_space_group_name_H-M_alt 'R -3 m'
_space_group_IT_number 166
_space_group_name_Hall '-R 3 2"'
_cell_length_a 4.9030
_cell_length_b 4.9030
_cell_length_c 25.8480
_cell_angle_alpha 90.00
_cell_angle_beta 90.00
_cell_angle_gamma 120.00
loop_
_atom_site_label
_atom_site_type_symbol
_atom_site_fract_x
_atom_site_fract_y
_atom_site_fract_z
Li1 Li 0.0000 0.0000 0.2482
Mg1 Mg 0.0000 0.0000 0.5000
Hg1 Hg 0.0000 0.0000 0.1305
Hg2 Hg 0.0000 0.0000 0.3883
Pb1 Pb 0.0000 0.0000 0.0000
```

Results
* E: -1.52 eV per atom

---

Number 1: M_tot 0.00 μB per formula unit. Number 2: M_tot 0.00 μB per formula unit. Number 3: M_tot 0.00 μB per formula unit. Number 4: M_tot 0.00 μB per formula unit. Number 5: M_tot 0.00 μB per formula unit. Number 6: M_tot 0.00 μB per formula unit. Number 7: M_tot 0.00 μB per formula unit. Number 8: M_tot 0.00 μB per formula unit. Number 9: M_tot 0.00 μB per formula unit. Number 10: M_tot 0.00 μB per formula unit. Number 11: M_tot 0.00 μB per formula unit. Number 12: M_tot 0.00 μB per formula unit. Number 13: M_tot 0.00 μB per formula unit. Number 14: M_tot 0.00 μB per formula unit. Number 15: M_tot 0.40 μB per formula unit. Number 16: M_tot 0.00 μB per formula unit. Number 17: M_tot 0.00 μB per formula unit. Number 18: M_tot 1.57 μB per formula unit. Number 19: M_tot 0.00 μB per formula unit. Number 20: M_tot 0.00 μB per formula unit.